# 1
VASP calculation (PBE-GGA) on crystalline Ac4NpPa3N8 at its relaxed geometry.

Results
Crystal system: trigonal
D(E_F), states/eV/atom: 0.90
Total magnetic moment, μB per cell: 8.86
E_form (uncorrected), meV per atom: -1338

Unit cell a=7.2790 b=7.2790 c=18.3915 alpha=90.00 beta=90.00 gamma=120.00
Space group R-3m (No. 166, hexagonal axes)
Symmetry-distinct sites (fractional):
1 Ac 0.0000 0.0000 0.0000
2 Ac 0.0000 0.5000 0.0000
3 Np 0.0000 0.0000 0.5000
4 Pa 0.0000 0.5000 0.5000
5 N 0.0000 0.0000 0.2291
6 N 0.0049 0.5024 0.7709


# 2
VASP calculation (PBE-GGA) on crystalline TaTc3Ge at its relaxed geometry.

Results
Crystal system: cubic
Energy of formation, eV/atom: 1.76
D(E_F), states/eV/atom: 1.10
Total magnetic moment, μB per cell: 2.69

Unit cell a=4.759 b=4.759 c=4.759 alpha=90.00 beta=90.00 gamma=90.00
Space group Pm-3m (No. 221)
Symmetry-distinct sites (fractional):
1 Ta 0.000 0.000 0.000
2 Tc 0.000 0.000 0.500
3 Ge 0.500 0.500 0.500


# 3
VASP calculation (PBE-GGA) on crystalline LiLaCuSn2 at its relaxed geometry.

Results
Crystal system: tetragonal
Energy of formation, eV/atom: -0.52
D(E_F), states/eV/atom: 0.34
Total magnetic moment, μB per cell: 0.00

Unit cell a=4.474 b=4.474 c=11.359 alpha=90.00 beta=90.00 gamma=90.00
Space group I-4m2 (No. 119)
Symmetry-distinct sites (fractional):
1 Li 0.000 0.000 0.000
2 La 0.000 0.500 0.750
3 Cu 0.000 0.000 0.500
4 Sn 0.000 0.500 0.124


# 4
VASP calculation (PBE-GGA) on crystalline Cu2OsPb at its relaxed geometry.

Results
Crystal system: orthorhombic
Energy of formation, eV/atom: 0.63
D(E_F), states/eV/atom: 0.68
Total magnetic moment, μB per cell: 0.00

Unit cell a=2.859 b=4.455 c=5.074 alpha=90.00 beta=90.00 gamma=90.00
Space group Pmm2 (No. 25)
Symmetry-distinct sites (fractional):
1 Cu 0.000 0.000 0.000
2 Cu 0.000 0.500 0.293
3 Os 0.500 0.500 0.858
4 Pb 0.500 0.000 0.509